Density functional theory data (PBE) for LiSn2Pd after structural relaxation.

```
LiSn2Pd
1.0
-1.6735 -2.3483 1.7349
-0.5189 -1.7286 -2.8403
6.1138 -3.5748 1.0586
Sn Li Pd
2 1 1
Direct
0.0000 0.0000 0.7721
0.0000 0.0000 0.2279
0.5000 0.5000 0.5000
0.5000 0.5000 0.0000
```

Calculated values
* VASP energy: -16.7 eV for the cell shown
* E_form: -394 meV/atom
* calculated volume: 20.27 Å³/atom

***

Density functional theory data (PBE) for LiSn2Pd after structural relaxation.

```
LiSn2Pd
1.0
4.4705 0.0000 0.0000
2.2353 3.8716 0.0000
2.2353 1.2905 5.0096
Sn Li Pd
2 1 1
Direct
0.0660 0.0660 0.8021
0.2701 0.2701 0.1896
0.4901 0.4901 0.5296
0.6738 0.6738 0.9786
```

Calculated values
* VASP energy: -16.8 eV for the cell shown
* E_form: -420 meV/atom
* calculated volume: 21.68 Å³/atom

***

Density functional theory data (PBE) for Li7Sn4Pd after structural relaxation.

```
Li7Sn4Pd
1.0
-1.6126 3.3477 2.9532
-7.4745 -2.3596 2.4076
1.2414 -1.9576 6.7113
Li Sn Pd
7 4 1
Direct
0.2116 0.1320 0.4447
0.9315 0.3287 0.8083
0.0685 0.6713 0.1917
0.3563 0.5897 0.6977
0.6437 0.4103 0.3023
0.5000 0.0000 0.0000
0.7884 0.8680 0.5553
0.4353 0.7964 0.3330
0.6997 0.6565 0.9441
0.3003 0.3435 0.0559
0.5647 0.2036 0.6670
0.0000 0.0000 0.0000
```

Calculated values
* VASP energy: -37.0 eV for the cell shown
* E_form: -203 meV/atom
* calculated volume: 20.64 Å³/atom

***

Density functional theory data (PBE) for Li3SnPd after structural relaxation.

```
Li3SnPd
1.0
-2.1923 -2.9313 2.8710
1.2306 -3.5751 -2.7104
3.9142 -0.5178 2.4602
Sn Li Pd
1 3 1
Direct
0.5000 0.5000 0.5000
0.5000 0.0000 0.0000
0.0000 0.5000 0.0000
0.0000 0.0000 0.5000
0.0000 0.0000 0.0000
```

Calculated values
* VASP energy: -15.2 eV for the cell shown
* E_form: -53 meV/atom
* calculated volume: 20.14 Å³/atom
* energy above the most stable polymorph in this dataset: 380.4 meV/atom

***

Density functional theory data (PBE) for Li3Sn2Pd3 after structural relaxation.

```
Li3Sn2Pd3
1.0
-0.9106 1.5563 -4.2801
-2.8888 -3.8770 -0.7951
-2.6822 4.1717 4.6074
Pd Sn Li
3 2 3
Direct
0.8718 0.3700 0.7437
0.1282 0.6300 0.2563
0.0000 0.0000 0.0000
0.2417 0.2435 0.4835
0.7583 0.7565 0.5165
0.5000 0.5000 0.0000
0.6160 0.1125 0.2321
0.3840 0.8875 0.7679
```

Calculated values
* VASP energy: -33.0 eV for the cell shown
* E_form: -459 meV/atom
* calculated volume: 16.67 Å³/atom
* energy above the most stable polymorph in this dataset: 163.8 meV/atom

***

Density functional theory data (PBE) for Li2Sn3Pd2 after structural relaxation.

```
Li2Sn3Pd2
1.0
4.3826 0.0000 0.0000
-2.1913 5.0263 -0.2046
0.0000 -2.5688 6.8006
Li Sn Pd
2 3 2
Direct
0.8335 0.6670 0.1745
0.1665 0.3330 0.8255
0.3691 0.7381 0.5393
0.5000 0.0000 0.0000
0.6309 0.2619 0.4607
0.1214 0.2427 0.2070
0.8786 0.7573 0.7930
```

Calculated values
* VASP energy: -29.2 eV for the cell shown
* E_form: -430 meV/atom
* calculated volume: 21.07 Å³/atom
* energy above the most stable polymorph in this dataset: 0.0 meV/atom

***

Density functional theory data (PBE) for LiSn2Pd4 after structural relaxation.

```
LiSn2Pd4
1.0
4.2415 0.0000 0.0000
0.0000 4.2415 0.0000
2.1208 2.1208 6.9405
Li Pd Sn
1 4 2
Direct
0.0000 0.0000 0.0000
0.8233 0.8233 0.3534
0.5000 0.0000 0.0000
0.0000 0.5000 0.0000
0.1767 0.1767 0.6466
0.3646 0.3646 0.2707
0.6354 0.6354 0.7293
```

Calculated values
* VASP energy: -31.9 eV for the cell shown
* E_form: -173 meV/atom
* calculated volume: 17.84 Å³/atom
* energy above the most stable polymorph in this dataset: 349.6 meV/atom

***

Density functional theory data (PBE) for Li3Sn3Pd2 after structural relaxation.

```
Li3Sn3Pd2
1.0
-1.8940 -3.9455 0.0603
2.6101 -1.2027 3.2837
-5.6206 5.1781 3.4115
Pd Sn Li
2 3 3
Direct
0.2568 0.2572 0.5137
0.7432 0.7428 0.4863
0.1430 0.6430 0.2861
0.0000 0.0000 0.0000
0.8570 0.3570 0.7139
0.3623 0.8639 0.7247
0.5000 0.5000 0.0000
0.6377 0.1361 0.2753
```

Calculated values
* VASP energy: -32.0 eV for the cell shown
* E_form: -484 meV/atom
* calculated volume: 18.54 Å³/atom
* energy above the most stable polymorph in this dataset: 7.9 meV/atom

***

Density functional theory data (PBE) for LiSn2Pd3 after structural relaxation.

```
LiSn2Pd3
1.0
6.6182 0.0000 0.0000
0.0000 7.8264 0.0000
-3.3091 -3.9132 4.9142
Sn Li Pd
4 2 6
Direct
0.7630 0.5705 0.1410
0.1220 0.9295 0.8590
0.8780 0.0705 0.1410
0.2370 0.4295 0.8590
0.3424 0.7500 0.5000
0.6576 0.2500 0.5000
0.5000 0.8008 0.0000
0.5000 0.1992 0.0000
0.0000 0.0000 0.5000
0.0000 0.6992 0.0000
0.0000 0.5000 0.5000
0.0000 0.3008 0.0000
```

Calculated values
* VASP energy: -56.2 eV for the cell shown
* E_form: -436 meV/atom
* calculated volume: 21.21 Å³/atom
* energy above the most stable polymorph in this dataset: 134.8 meV/atom

***

Density functional theory data (PBE) for LiSn8Pd2 after structural relaxation.

```
LiSn8Pd2
1.0
-4.6000 -1.7439 -0.5138
0.4467 -5.9798 5.0440
-2.7581 1.8705 7.0918
Sn Pd Li
8 2 1
Direct
0.9855 0.5860 0.1596
0.4367 0.1205 0.1205
0.5311 0.6120 0.6120
0.0145 0.8404 0.4140
0.0145 0.4140 0.8404
0.9855 0.1596 0.5860
0.5633 0.8795 0.8795
0.4689 0.3880 0.3880
0.1210 0.7864 0.7864
0.8790 0.2136 0.2136
0.0000 0.0000 0.0000
```

Calculated values
* VASP energy: -46.4 eV for the cell shown
* E_form: -189 meV/atom
* calculated volume: 25.12 Å³/atom

***

Density functional theory data (PBE) for Li12SnPd6 after structural relaxation.

```
Li12SnPd6
1.0
6.7084 0.4962 0.5945
-0.5265 6.7061 0.5945
-0.5265 -0.6134 6.7044
Li Pd Sn
12 6 1
Direct
0.9746 0.8453 0.6122
0.8104 0.5200 0.4187
0.5813 0.1896 0.4800
0.6122 0.9746 0.8453
0.4187 0.8104 0.5200
0.1547 0.3878 0.0254
0.4800 0.5813 0.1896
0.1896 0.4800 0.5813
0.0254 0.1547 0.3878
0.8453 0.6122 0.9746
0.5200 0.4187 0.8104
0.3878 0.0254 0.1547
0.7321 0.8781 0.2797
0.8781 0.2797 0.7321
0.7203 0.2679 0.1219
0.2679 0.1219 0.7203
0.1219 0.7203 0.2679
0.2797 0.7321 0.8781
0.0000 0.0000 0.0000
```

Calculated values
* VASP energy: -64.5 eV for the cell shown
* E_form: -335 meV/atom
* calculated volume: 16.21 Å³/atom

***

Density functional theory data (PBE) for LiSn2Pd8 after structural relaxation.

```
LiSn2Pd8
1.0
-1.4264 2.5186 -3.7809
-5.4686 -4.3854 1.1932
1.6285 5.0109 4.7750
Pd Sn Li
8 2 1
Direct
0.3149 0.6105 0.6105
0.1349 0.3258 0.1019
0.8651 0.6742 0.8981
0.6851 0.3895 0.3895
0.1349 0.1019 0.3258
0.5000 0.7950 0.2050
0.5000 0.2050 0.7950
0.8651 0.8981 0.6742
0.0000 0.3053 0.6947
0.0000 0.6947 0.3053
0.5000 0.0000 0.0000
```

Calculated values
* VASP energy: -54.8 eV for the cell shown
* E_form: -300 meV/atom
* calculated volume: 16.88 Å³/atom
* energy above the most stable polymorph in this dataset: 105.4 meV/atom